Record 1
LaSm4In2 | PBE | optimized geometry

Output
The space-group type is P2_1/m, No. 11. The calculation puts the energy of formation from the pure elements at -0.192 eV/atom.

Cell and atoms, written as POSCAR:
```
LaSm4In2
1.0
-1.3932 7.6944 3.5244
-2.9486 2.0428 -5.6254
-6.0897 -5.9414 1.0343
La Sm In
2 8 4
Cartesian
-4.4325 1.5784 -3.0381
-5.9989 2.2174 1.9714
-3.6772 4.0453 -0.5022
-7.7111 -2.9978 -2.9814
-2.7203 6.7936 1.9147
-2.2460 3.0537 2.2284
-4.0875 -2.3840 -0.7015
-8.1853 0.7421 -3.2952
-6.7541 -0.2495 -0.5646
-6.3439 6.1798 -0.3653
-3.4632 7.4987 -1.3963
-6.9682 -3.7029 0.3295
-3.6138 0.7364 0.1834
-6.8176 3.0594 -1.2501
```

Record 2
La5Sm3In | PBE | optimized geometry

Output
The space-group type is C2/m, No. 12. The calculation puts the energy of formation from the pure elements at 0.231 eV/atom.

Cell and atoms, written as POSCAR:
```
La5Sm3In
1.0
7.0233 0.1128 -0.9206
2.0311 6.7241 -0.9206
1.7730 1.3388 13.6230
La Sm In
10 6 2
Cartesian
8.5377 4.0946 3.1977
3.6673 4.5572 -0.9206
7.1241 5.3793 0.2078
4.9646 3.7487 2.5773
5.8627 4.4269 9.2045
3.7033 2.7963 11.5740
6.2754 7.0907 3.1977
5.3870 2.2797 -0.9206
2.2897 4.0811 8.5841
4.5520 1.0850 8.5841
8.4772 6.4011 10.4101
6.6319 5.0077 5.7659
0.0000 0.0000 0.0000
0.8865 0.6694 6.8115
2.3501 1.7746 1.3718
4.1955 3.1680 6.0160
10.3602 7.8229 8.2575
0.4671 0.3527 3.5243
```

Record 3
La5Sm2In | PBE | optimized geometry

Output
The space-group type is Fmm2, No. 42. The calculation puts the energy of formation from the pure elements at -0.122 eV/atom.

Cell and atoms, written as POSCAR:
```
La5Sm2In
1.0
6.9994 -0.5034 -2.0873
-4.0054 5.7605 -2.0900
0.1345 0.2406 6.8690
La Sm In
5 2 1
Cartesian
0.4779 1.8218 2.2748
-0.6635 4.2134 -2.3023
4.7014 0.8382 -2.1077
1.9743 4.4489 0.1835
1.3709 1.1533 -1.1599
-1.6700 4.6383 1.0451
3.9577 1.7263 1.4133
2.8980 4.0823 3.6197
```

Record 4
La3Sm4In | PBE | optimized geometry

Output
The space-group type is Pmn2_1, No. 31. The calculation puts the energy of formation from the pure elements at -0.110 eV/atom.

Cell and atoms, written as POSCAR:
```
La3Sm4In
1.0
6.3447 0.0000 0.0000
0.0000 7.2424 0.0000
0.0000 0.0000 11.5695
La Sm In
6 8 2
Cartesian
3.1497 6.3257 0.0000
1.0090 6.4365 2.7890
4.1813 0.8059 2.9957
6.3220 0.9167 5.7847
4.1813 0.8059 8.5737
1.0090 6.4365 8.7805
6.0742 4.5330 0.0000
3.1060 2.6683 0.0000
0.8755 2.6957 2.7186
4.0479 4.5467 3.0662
6.2783 4.5741 5.7847
2.9018 2.7094 5.7847
4.0479 4.5467 8.5033
0.8755 2.6957 8.8509
6.2045 0.9622 0.0000
3.0321 6.2802 5.7847
```

Record 5
LaSmIn | PBE | optimized geometry

Output
The space-group type is P3m1, No. 156. The calculation puts the energy of formation from the pure elements at -0.263 eV/atom.

Cell and atoms, written as POSCAR:
```
LaSmIn
1.0
3.7609 0.0000 0.0000
0.0000 5.3473 0.0000
0.0000 -2.6736 4.6309
In Sm La
1 1 1
Cartesian
2.3616 2.6736 1.5436
1.4659 0.0000 3.0872
3.6942 0.0000 0.0000
```

Record 6
LaSm2In | PBE | optimized geometry

Output
The space-group type is R3m, No. 160. The calculation puts the energy of formation from the pure elements at -0.120 eV/atom.

Cell and atoms, written as POSCAR:
```
LaSm2In
1.0
3.7192 0.0000 0.0000
1.8596 3.2209 0.0000
1.8596 1.0736 11.0688
La Sm In
1 2 1
Cartesian
3.7192 2.1473 5.5405
1.8596 1.0736 8.5715
1.8596 1.0736 2.4868
3.7192 2.1473 0.0045
```

Record 7
LaSm4In5 | PBE | optimized geometry

Output
The space-group type is P4/mmm, No. 123. The calculation puts the energy of formation from the pure elements at -0.498 eV/atom.

Cell and atoms, written as POSCAR:
```
LaSm4In5
1.0
-3.2629 0.9246 1.8192
-0.0189 -3.4444 1.7167
10.2567 7.2709 14.7013
La Sm In
1 4 5
Cartesian
0.0000 0.0000 0.0000
2.1043 1.4917 3.0162
4.1203 2.9208 5.9058
6.1364 4.3500 8.7955
8.1524 5.7791 11.6851
-0.5364 -0.4769 3.3511
1.4716 0.9466 6.2293
3.4874 2.3756 9.1186
5.5032 3.8045 12.0079
7.5113 5.2280 14.8860
```

Record 8
LaSm3In4 | PBE | optimized geometry

Output
The space-group type is Immm, No. 71. The calculation puts the energy of formation from the pure elements at -0.320 eV/atom.

Cell and atoms, written as POSCAR:
```
LaSm3In4
1.0
-2.2592 0.4667 -2.7105
-0.8537 -7.2832 -0.5424
-5.6810 3.7991 7.7261
La Sm In
1 3 4
Cartesian
-1.1296 0.2333 -1.3553
-0.4269 -3.6416 -0.2712
-3.1206 0.1690 2.6301
-5.6733 -3.1865 1.8431
-5.5443 -1.1919 4.4159
-3.2496 -1.8256 0.0573
-3.5968 -4.7892 -0.1636
-5.1971 1.7717 4.6367
```

Record 9
La2Sm3In4 | PBE | optimized geometry

Output
The space-group type is C2/m, No. 12. The calculation puts the energy of formation from the pure elements at -0.413 eV/atom.

Cell and atoms, written as POSCAR:
```
La2Sm3In4
1.0
-3.9050 3.7961 -0.4590
-5.2460 -1.4859 -0.1971
-0.5584 0.6947 10.5004
La Sm In
2 3 4
Cartesian
-3.4895 1.3101 7.9867
-6.2199 1.6948 1.8576
-3.2860 1.0654 4.2304
0.0000 0.0000 0.0000
-6.4234 1.9396 5.6140
-6.6054 2.1612 8.9961
-5.4422 -1.2403 3.5048
-4.2672 4.2453 6.3395
-3.1040 0.8438 0.8482
```

Record 10
LaSm2In4 | PBE | optimized geometry

Output
The space-group type is I4/mmm, No. 139. The calculation puts the energy of formation from the pure elements at -0.305 eV/atom.

Cell and atoms, written as POSCAR:
```
LaSm2In4
1.0
-1.0307 2.1959 -4.8449
2.2451 -4.2944 -2.4241
-7.2721 -2.3590 3.5077
In Sm La
4 2 1
Cartesian
-3.9289 -4.7316 -1.3087
-5.5670 -1.4861 -2.5190
-2.1288 0.2742 -2.4526
-0.4907 -2.9713 -1.2423
-2.6399 -2.7098 -3.6964
-3.4179 -1.7476 -0.0649
0.0000 0.0000 0.0000
```

Record 11
LaSm9In2 | PBE | optimized geometry

Output
The space-group type is P4/mmm, No. 123. The calculation puts the energy of formation from the pure elements at -0.161 eV/atom.

Cell and atoms, written as POSCAR:
```
LaSm9In2
1.0
-4.2588 -0.3959 2.5164
-2.4894 -0.3926 -4.2749
1.6700 -15.2458 0.4277
La Sm In
1 9 2
Cartesian
0.0000 0.0000 0.0000
-3.3741 -0.3943 -0.8793
-2.8048 -5.5914 -0.7335
-2.2734 -10.4430 -0.5974
-1.8338 -2.8968 1.3339
-1.2944 -7.8209 1.4720
-0.7550 -12.7449 1.6101
-0.9491 -2.8952 -2.0617
-0.4097 -7.8192 -1.9236
0.1297 -12.7432 -1.7855
0.5667 -5.1737 0.1451
1.1033 -10.0721 0.2825
```

Record 12
La14SmIn | PBE | optimized geometry

Output
The space-group type is P4/mmm, No. 123. The calculation puts the energy of formation from the pure elements at -0.062 eV/atom.

Cell and atoms, written as POSCAR:
```
La14SmIn
1.0
7.2762 0.9757 0.0000
-0.9767 7.2761 0.0000
0.0000 0.0000 10.4123
La Sm In
14 1 1
Cartesian
2.1180 4.9136 5.2062
6.2454 1.7627 5.2062
5.7550 5.3999 0.0000
5.7571 5.4026 5.2062
2.6076 1.2770 0.0000
2.6055 1.2743 5.2062
3.6562 6.9283 7.8701
3.6562 6.9283 2.5422
0.5800 2.8987 7.8701
0.5800 2.8987 2.5422
0.1029 6.4519 7.8722
0.1029 6.4519 2.5402
4.1333 3.3751 7.8681
4.1333 3.3751 2.5442
6.2446 1.7633 0.0000
2.1183 4.9133 0.0000
```